{
  "formula": "Li2CaIn2",
  "functional": "PBE-GGA",
  "state": "optimized geometry",
  "e_above_lowest_polymorph_mev_per_atom": 20,
  "ef_ev_per_atom": -0.2752,
  "dos_at_fermi_per_ev_cell": 1.9,
  "lattice": [[-2.070, 2.070, 7.124], [2.070, -2.070, 7.124], [2.070, 2.070, -7.124]],
  "species": ["Li", "Li", "Ca", "In", "In"],
  "frac_coords": [[0.250, 0.750, 0.500], [0.750, 0.250, 0.500], [0.000, 0.000, 0.000], [0.392, 0.392, 0.000], [0.608, 0.608, 0.000]]
}

=====

{
  "formula": "Li4CaIn15",
  "functional": "PBE-GGA",
  "state": "optimized geometry",
  "ef_ev_per_atom": -0.1612,
  "dos_at_fermi_per_ev_cell": 9.8,
  "lattice": [[4.563, 0.000, 0.000], [0.000, 4.563, 0.000], [0.000, 0.000, 23.356]],
  "species": ["Li", "Li", "Li", "Li", "Ca", "In", "In", "In", "In", "In", "In", "In", "In", "In", "In", "In", "In", "In", "In", "In"],
  "frac_coords": [[0.000, 0.000, 0.100], [0.000, 0.000, 0.299], [0.000, 0.000, 0.701], [0.000, 0.000, 0.900], [0.000, 0.000, 0.500], [0.000, 0.500, 0.000], [0.000, 0.500, 0.198], [0.000, 0.500, 0.394], [0.000, 0.500, 0.606], [0.000, 0.500, 0.802], [0.500, 0.000, 0.000], [0.500, 0.000, 0.198], [0.500, 0.000, 0.394], [0.500, 0.000, 0.606], [0.500, 0.000, 0.802], [0.500, 0.500, 0.098], [0.500, 0.500, 0.297], [0.500, 0.500, 0.500], [0.500, 0.500, 0.703], [0.500, 0.500, 0.902]]
}

=====

{
  "formula": "LiCa2In",
  "functional": "PBE-GGA",
  "state": "optimized geometry",
  "ef_ev_per_atom": -0.0909,
  "dos_at_fermi_per_ev_cell": 3.2,
  "lattice": [[1.896, 1.095, 10.364], [-1.896, 1.095, 10.364], [0.000, -2.189, 10.364]],
  "species": ["Li", "Ca", "Ca", "In"],
  "frac_coords": [[0.000, 0.000, 0.000], [0.579, 0.579, 0.579], [0.753, 0.753, 0.753], [0.166, 0.166, 0.166]]
}